Entry 1:
Material: NaC3F12
Method: DFT, PBE
State: relaxed

a b c (Å): 6.4667 10.1347 10.1347
angles (deg): 120.00 90.00 90.00
Last column: nearest neighbours and their distance in Å.
Atoms (fractional coordinates):
F1 0.2500 0.4203 0.3542  1 C 1.35
F2 0.5798 0.6183 0.8499  1 C 1.35
F3 0.7500 0.0448 0.1933  1 C 1.34
F4 0.2500 0.8515 0.0448  1 C 1.34
Na1 0.2500 0.3333 0.6667  9 F 3.31-3.69
F5 0.5798 0.1501 0.7684  1 C 1.35
F6 0.0798 0.3817 0.1501  1 C 1.35
C1 0.2500 0.8570 0.6561  4 F 1.34-1.35
F7 0.2500 0.1933 0.1485  1 C 1.34
C2 0.7500 0.1430 0.3439  4 F 1.34-1.35
F8 0.7500 0.5797 0.6458  1 C 1.35
F9 0.7500 0.0661 0.4203  1 C 1.35
C3 0.7500 0.2009 0.8570  4 F 1.34-1.35
F10 0.4202 0.7684 0.6183  1 C 1.35
F11 0.9202 0.2316 0.3817  1 C 1.35
F12 0.2500 0.6458 0.0661  1 C 1.35
F13 0.0798 0.7684 0.6183  1 C 1.35
F14 0.9202 0.1501 0.7684  1 C 1.35
C4 0.7500 0.6561 0.7991  4 F 1.34-1.35
F15 0.4202 0.8499 0.2316  1 C 1.35
F16 0.2500 0.9552 0.8067  1 C 1.34
F17 0.4202 0.3817 0.1501  1 C 1.35
F18 0.7500 0.3542 0.9339  1 C 1.35
C5 0.2500 0.7991 0.1430  4 F 1.34-1.35
F19 0.0798 0.8499 0.2316  1 C 1.35
C6 0.2500 0.3439 0.2009  4 F 1.34-1.35
Na2 0.7500 0.6667 0.3333  9 F 3.31-3.69
F20 0.9202 0.6183 0.8499  1 C 1.35
F21 0.7500 0.1485 0.9552  1 C 1.34
F22 0.5798 0.2316 0.3817  1 C 1.35
F23 0.7500 0.8067 0.8515  1 C 1.34
F24 0.2500 0.9339 0.5797  1 C 1.35

* final energy: -4.861 eV per atom
* raw formation energy: -1.65 eV per atom
* total magnetic moment: 0.00 μB per formula unit
* space-group type: P6_3/m, No. 176



Entry 2:
Material: La2YHo2Hg5
Method: DFT, PBE
State: relaxed

a b c (Å): 4.0260 11.8949 11.8949
angles (deg): 90.00 90.00 90.00
Last column: nearest neighbours and their distance in Å.
Atoms (fractional coordinates):
Hg1 0.5000 0.8222 0.9088  2 Ho 3.07, 2 Y 3.11, 2 Hg 3.36
Y1 0.0000 0.0000 0.0000  8 Hg 3.11
Hg2 0.5000 0.5000 0.0000  4 Ho 2.99
La1 0.0000 0.3290 0.8290  3 Ho 3.33-3.63, 6 Hg 3.47-3.51
Hg3 0.5000 0.3222 0.5912  2 Ho 3.07, 2 Y 3.11, 2 Hg 3.36
Hg4 0.5000 0.5912 0.6778  2 Ho 3.07, 2 Y 3.11, 2 Hg 3.36
Ho1 0.0000 0.3688 0.1312  6 Hg 2.99-3.07, 1 La 3.33
Hg5 0.5000 0.0000 0.5000  4 Ho 2.99
Hg6 0.5000 0.6778 0.4088  2 Ho 3.07, 2 Y 3.11, 2 Hg 3.36
Hg7 0.5000 0.4088 0.3222  2 Ho 3.07, 2 Y 3.11, 2 Hg 3.36
Ho2 0.0000 0.6312 0.8688  6 Hg 2.99-3.07, 1 La 3.33
Y2 0.0000 0.5000 0.5000  8 Hg 3.11
Hg8 0.5000 0.9088 0.1778  2 Ho 3.07, 2 Y 3.11, 2 Hg 3.36
Ho3 0.0000 0.1312 0.6312  6 Hg 2.99-3.07, 1 La 3.33
La2 0.0000 0.1710 0.3290  3 Ho 3.33-3.63, 6 Hg 3.47-3.51
Hg9 0.5000 0.0912 0.8222  2 Ho 3.07, 2 Y 3.11, 2 Hg 3.36
Ho4 0.0000 0.8688 0.3688  6 Hg 2.99-3.07, 1 La 3.33
La3 0.0000 0.6710 0.1710  3 Ho 3.33-3.63, 6 Hg 3.47-3.51
Hg10 0.5000 0.1778 0.0912  2 Ho 3.07, 2 Y 3.11, 2 Hg 3.36
La4 0.0000 0.8290 0.6710  3 Ho 3.33-3.63, 6 Hg 3.47-3.51

* final energy: -3.058 eV per atom
* DFT formation energy: -359 meV per atom
* total magnetic moment: 0.33 μB per formula unit
* space-group type: P4/mbm, No. 127